1.
# PBE Pm3Pd2O, optimized geometry
# E_form (uncorrected) (meV per atom): -1311
# Crystal system: monoclinic
data_Pm3Pd2O
_space_group_name_H-M_alt 'C 1 2/c 1'
_space_group_IT_number 15
_cell_length_a 13.249
_cell_length_b 5.900
_cell_length_c 7.890
_cell_angle_alpha 90.00
_cell_angle_beta 112.20
_cell_angle_gamma 90.00
loop_
_space_group_symop_operation_xyz
'x,y,z'
'-x,-y,-z'
'-x,y,-z+1/2'
'x,-y,z+1/2'
'x+1/2,y+1/2,z'
'-x+1/2,-y+1/2,-z'
'-x+1/2,y+1/2,-z+1/2'
'x+1/2,-y+1/2,z+1/2'
loop_
_atom_site_label
_atom_site_fract_x
_atom_site_fract_y
_atom_site_fract_z
Pm1 0.000 0.052 0.250
Pm2 0.151 0.474 0.006
Pd1 0.174 0.032 0.622
O1 0.000 0.437 0.250

=====

2.
# PBE TlPRh2, optimized geometry
# Total DFT energy (no corrections) (eV/atom): -5.231
# Crystal system: cubic
data_TlPRh2
_space_group_name_H-M_alt 'F -4 3 m'
_space_group_IT_number 216
_space_group_name_Hall 'F -4 2 3'
_cell_length_a 6.424
_cell_length_b 6.424
_cell_length_c 6.424
_cell_angle_alpha 90.00
_cell_angle_beta 90.00
_cell_angle_gamma 90.00
loop_
_atom_site_label
_atom_site_fract_x
_atom_site_fract_y
_atom_site_fract_z
Tl1 0.000 0.000 0.000
P1 0.250 0.250 0.750
Rh1 0.000 0.000 0.500
Rh2 0.250 0.250 0.250

=====

3.
# PBE Sc2CdPdS, optimized geometry
# E_form (uncorrected) (meV per atom): -169
# Crystal system: tetragonal
data_Sc2CdPdS
_space_group_name_H-M_alt 'P 4/m m m'
_space_group_IT_number 123
_space_group_name_Hall '-P 4 2'
_cell_length_a 4.998
_cell_length_b 4.998
_cell_length_c 5.050
_cell_angle_alpha 90.00
_cell_angle_beta 90.00
_cell_angle_gamma 90.00
loop_
_atom_site_label
_atom_site_fract_x
_atom_site_fract_y
_atom_site_fract_z
Sc1 0.000 0.500 0.000
Cd1 0.000 0.000 0.500
Pd1 0.000 0.000 0.000
S1 0.500 0.500 0.500

=====

4.
# PBE YGeMoRh2, optimized geometry
# Total DFT energy (no corrections) (eV/atom): -6.603
# Crystal system: tetragonal
data_YGeMoRh2
_space_group_name_H-M_alt 'P 4/m m m'
_space_group_IT_number 123
_space_group_name_Hall '-P 4 2'
_cell_length_a 4.520
_cell_length_b 4.520
_cell_length_c 5.188
_cell_angle_alpha 90.00
_cell_angle_beta 90.00
_cell_angle_gamma 90.00
loop_
_atom_site_label
_atom_site_fract_x
_atom_site_fract_y
_atom_site_fract_z
Y1 0.000 0.000 0.000
Ge1 0.000 0.000 0.500
Mo1 0.500 0.500 0.000
Rh1 0.000 0.500 0.500

=====

Across the entries above, calculated volume takes the values 23.8 16.6 25.2 21.2 A^3/atom, respectively.